1.
A plane-wave DFT calculation with GGA-PBEsol was carried out for a relaxed structure of DySi2Ir2.

Summary:
SG: I4/mmm (139)
Magnetic moment in μB/f.u.: 0.000
Formation energy from raw total energies in eV/atom: -1.1257

a = 4.0400 Å, b = 4.0400 Å, c = 5.7074 Å
α = 110.73°, β = 110.73°, γ = 90.00°
Last column: nearest neighbours and their distance in Å.
Sites, in units of the cell vectors:
Si (0.3791, 0.3791, 0.7582)  4 Ir 2.39, 1 Si 2.39
Si (0.6209, 0.6209, 0.2418)  4 Ir 2.39, 1 Si 2.39
Ir (0.2500, 0.7500, 0.5000)  4 Si 2.39
Ir (0.7500, 0.2500, 0.5000)  4 Si 2.39
Dy (0.0000, 0.0000, 0.0000)  8 Si 3.10, 8 Ir 3.19


2.
A plane-wave DFT calculation with GGA-PBEsol was carried out for a relaxed structure of MnAgOsPt2.

Summary:
SG: P4/mmm (123)
Magnetic moment in μB/f.u.: 2.823
Energy of formation in meV/atom: 1368.6

a = 4.4462 Å, b = 4.8029 Å, c = 4.8029 Å
α = 90.00°, β = 90.00°, γ = 90.00°
Last column: nearest neighbours and their distance in Å.
Sites, in units of the cell vectors:
Mn (0.5000, 0.0000, 0.0000)  2 Os 2.22
Os (0.0000, 0.0000, 0.0000)  2 Mn 2.22, 4 Pt 2.40
Ag (0.5000, 0.5000, 0.5000)  8 Pt 3.27, 4 Mn 3.40
Pt (0.0000, 0.0000, 0.5000)  2 Os 2.40
Pt (0.0000, 0.5000, 0.0000)  2 Os 2.40


3.
A plane-wave DFT calculation with GGA-PBEsol was carried out for a relaxed structure of LiV2P2O8.

Summary:
SG: Pmc2_1 (26)
Magnetic moment in μB/f.u.: 5.000
Formation energy from raw total energies in eV/atom: -2.1878
ΔE to the lowest computed polymorph in eV/atom: 0.021

a = 4.8125 Å, b = 6.2661 Å, c = 8.9098 Å
α = 90.00°, β = 90.00°, γ = 90.00°
Last column: nearest neighbours and their distance in Å.
Sites, in units of the cell vectors:
Li (0.2307, 0.5000, 0.6662)  4 O 1.99-2.21
Li (0.7693, 0.5000, 0.1662)  4 O 1.99-2.21
V (0.2501, 0.2433, 0.9999)  6 O 1.97-2.21
V (0.2501, 0.7567, 0.9999)  6 O 1.97-2.21
V (0.7499, 0.2433, 0.4999)  6 O 1.97-2.21
V (0.7499, 0.7567, 0.4999)  6 O 1.97-2.21
P (0.7265, 0.5000, 0.8242)  4 O 1.52-1.59
P (0.2380, 0.0000, 0.6774)  4 O 1.54-1.57
P (0.2735, 0.5000, 0.3242)  4 O 1.52-1.59
P (0.7620, 0.0000, 0.1774)  4 O 1.54-1.57
O (0.5869, 0.2981, 0.8796)  1 P 1.52
O (0.5869, 0.7019, 0.8796)  1 P 1.52
O (0.0424, 0.5000, 0.8725)  1 P 1.58
O (0.2016, 0.0000, 0.8521)  1 P 1.57
O (0.6883, 0.5000, 0.6468)  1 P 1.59
O (0.5454, 0.0000, 0.6195)  1 P 1.57
O (0.0973, 0.7943, 0.6224)  1 P 1.54
O (0.0973, 0.2057, 0.6224)  1 P 1.54
O (0.4131, 0.2981, 0.3796)  1 P 1.52
O (0.4131, 0.7019, 0.3796)  1 P 1.52
O (0.9576, 0.5000, 0.3725)  1 P 1.58
O (0.7984, 0.0000, 0.3521)  1 P 1.57
O (0.3117, 0.5000, 0.1468)  1 P 1.59
O (0.4546, 0.0000, 0.1195)  1 P 1.57
O (0.9027, 0.7943, 0.1224)  1 P 1.54
O (0.9027, 0.2057, 0.1224)  1 P 1.54